[1]
Density functional theory data (GGA-PBE) for an optimized crystal structure of CdAg2Sn3S8.

The total moment is 0.0 μB/f.u. The space-group type is R-3m (166). Its total DFT energy (no corrections) is -4.04 eV per atom. For the raw formation energy, the calculation gives -0.35 eV per atom. The value obtained for the density of states at the Fermi level is 2.104 states/eV/cell.

CIF file:
```
data_CdAg2Sn3S8
_space_group_name_H-M_alt 'P 1'
_space_group_IT_number 1
_cell_length_a 7.756
_cell_length_b 7.756
_cell_length_c 7.756
_cell_angle_alpha 59.49
_cell_angle_beta 59.49
_cell_angle_gamma 59.49
loop_
_space_group_symop_operation_xyz
'x,y,z'
loop_
_atom_site_label
_atom_site_type_symbol
_atom_site_fract_x
_atom_site_fract_y
_atom_site_fract_z
Cd1 Cd 0.500 0.500 0.500
Ag1 Ag 0.117 0.117 0.117
Ag2 Ag 0.883 0.883 0.883
Sn1 Sn 0.000 0.500 0.500
Sn2 Sn 0.500 0.500 0.000
Sn3 Sn 0.500 0.000 0.500
S1 S 0.255 0.255 0.255
S2 S 0.719 0.254 0.254
S3 S 0.254 0.254 0.719
S4 S 0.254 0.719 0.254
S5 S 0.745 0.745 0.745
S6 S 0.281 0.746 0.746
S7 S 0.746 0.746 0.281
S8 S 0.746 0.281 0.746
```

***

[2]
Density functional theory data (GGA-PBE) for an optimized crystal structure of CdAg2SnS4.

The total moment is 0.0 μB/f.u. The space-group type is I-42m (121). Its total DFT energy (no corrections) is -3.74 eV per atom. For the raw formation energy, the calculation gives -0.35 eV per atom. The value obtained for the density of states at the Fermi level is 0.088 states/eV/cell.

CIF file:
```
data_CdAg2SnS4
_space_group_name_H-M_alt 'P 1'
_space_group_IT_number 1
_cell_length_a 5.797
_cell_length_b 5.797
_cell_length_c 7.259
_cell_angle_alpha 113.52
_cell_angle_beta 113.52
_cell_angle_gamma 90.03
loop_
_space_group_symop_operation_xyz
'x,y,z'
loop_
_atom_site_label
_atom_site_type_symbol
_atom_site_fract_x
_atom_site_fract_y
_atom_site_fract_z
Cd1 Cd 0.000 0.000 0.000
Ag1 Ag 0.750 0.250 0.500
Ag2 Ag 0.250 0.750 0.500
Sn1 Sn 0.500 0.500 0.000
S1 S 0.618 0.618 0.756
S2 S 0.382 0.861 0.244
S3 S 0.861 0.382 0.244
S4 S 0.138 0.138 0.756
```

***

[3]
Density functional theory data (GGA-PBE) for an optimized crystal structure of Sr2CdAgS.

The total moment is 0.0 μB/f.u. The space-group type is P4/mmm (123). Its total DFT energy (no corrections) is -2.25 eV per atom. For the raw formation energy, the calculation gives 0.00 eV per atom. The value obtained for the density of states at the Fermi level is 3.828 states/eV/cell.

CIF file:
```
data_Sr2CdAgS
_space_group_name_H-M_alt 'P 1'
_space_group_IT_number 1
_cell_length_a 6.216
_cell_length_b 4.936
_cell_length_c 6.216
_cell_angle_alpha 90.00
_cell_angle_beta 90.00
_cell_angle_gamma 90.00
loop_
_space_group_symop_operation_xyz
'x,y,z'
loop_
_atom_site_label
_atom_site_type_symbol
_atom_site_fract_x
_atom_site_fract_y
_atom_site_fract_z
Sr1 Sr 0.000 0.000 0.500
Sr2 Sr 0.500 0.000 0.000
S1 S 0.000 0.500 0.000
Ag1 Ag 0.500 0.500 0.500
Cd1 Cd 0.000 0.000 0.000
```

***

[4]
Density functional theory data (GGA-PBE) for an optimized crystal structure of CdAg2TeS4.

The total moment is 0.0 μB/f.u. The space-group type is Imma (74). Its total DFT energy (no corrections) is -3.37 eV per atom. For the raw formation energy, the calculation gives -0.08 eV per atom. The value obtained for the density of states at the Fermi level is 5.144 states/eV/cell.

CIF file:
```
data_CdAg2TeS4
_space_group_name_H-M_alt 'P 1'
_space_group_IT_number 1
_cell_length_a 7.780
_cell_length_b 7.780
_cell_length_c 7.730
_cell_angle_alpha 119.78
_cell_angle_beta 119.78
_cell_angle_gamma 90.58
loop_
_space_group_symop_operation_xyz
'x,y,z'
loop_
_atom_site_label
_atom_site_type_symbol
_atom_site_fract_x
_atom_site_fract_y
_atom_site_fract_z
Cd1 Cd 0.000 0.500 0.000
Cd2 Cd 0.000 0.500 0.500
Ag1 Ag 0.500 0.000 0.000
Ag2 Ag 0.500 0.000 0.500
Ag3 Ag 0.000 0.000 0.500
Ag4 Ag 0.500 0.500 0.000
Te1 Te 0.500 0.500 0.500
Te2 Te 0.000 0.000 0.000
S1 S 0.241 0.750 0.995
S2 S 0.750 0.259 0.505
S3 S 0.250 0.741 0.495
S4 S 0.759 0.250 0.005
S5 S 0.748 0.751 0.000
S6 S 0.749 0.752 0.500
S7 S 0.251 0.248 0.500
S8 S 0.252 0.249 0.000
```

***

[5]
Density functional theory data (GGA-PBE) for an optimized crystal structure of Cd2AgTeS4.

The total moment is 0.0 μB/f.u. The space-group type is C2/c (15). Its total DFT energy (no corrections) is -3.21 eV per atom. For the raw formation energy, the calculation gives -0.17 eV per atom. The value obtained for the density of states at the Fermi level is 6.232 states/eV/cell.

CIF file:
```
data_Cd2AgTeS4
_space_group_name_H-M_alt 'P 1'
_space_group_IT_number 1
_cell_length_a 7.712
_cell_length_b 7.712
_cell_length_c 8.423
_cell_angle_alpha 118.51
_cell_angle_beta 118.51
_cell_angle_gamma 93.02
loop_
_space_group_symop_operation_xyz
'x,y,z'
loop_
_atom_site_label
_atom_site_type_symbol
_atom_site_fract_x
_atom_site_fract_y
_atom_site_fract_z
Cd1 Cd 0.500 0.000 0.000
Cd2 Cd 0.500 0.000 0.500
Cd3 Cd 0.000 0.000 0.500
Cd4 Cd 0.500 0.500 0.000
Ag1 Ag 0.000 0.500 0.000
Ag2 Ag 0.000 0.500 0.500
Te1 Te 0.500 0.500 0.500
Te2 Te 0.000 0.000 0.000
S1 S 0.241 0.774 0.049
S2 S 0.726 0.259 0.451
S3 S 0.274 0.741 0.549
S4 S 0.759 0.226 0.951
S5 S 0.787 0.816 0.087
S6 S 0.684 0.713 0.413
S7 S 0.316 0.287 0.587
S8 S 0.213 0.184 0.913
```

***

[6]
Density functional theory data (GGA-PBE) for an optimized crystal structure of VCdAg2S4.

The total moment is 1.0 μB/f.u. The space-group type is I-42m (121). Its total DFT energy (no corrections) is -4.47 eV per atom. For the raw formation energy, the calculation gives -0.44 eV per atom. The value obtained for the density of states at the Fermi level is 3.578 states/eV/cell.

CIF file:
```
data_VCdAg2S4
_space_group_name_H-M_alt 'P 1'
_space_group_IT_number 1
_cell_length_a 5.706
_cell_length_b 5.706
_cell_length_c 6.986
_cell_angle_alpha 114.10
_cell_angle_beta 114.10
_cell_angle_gamma 90.01
loop_
_space_group_symop_operation_xyz
'x,y,z'
loop_
_atom_site_label
_atom_site_type_symbol
_atom_site_fract_x
_atom_site_fract_y
_atom_site_fract_z
V1 V 0.500 0.500 0.000
Cd1 Cd 0.000 0.000 0.000
Ag1 Ag 0.750 0.250 0.500
Ag2 Ag 0.250 0.750 0.500
S1 S 0.609 0.609 0.770
S2 S 0.391 0.839 0.230
S3 S 0.839 0.391 0.230
S4 S 0.161 0.161 0.770
```

***

[7]
Density functional theory data (GGA-PBE) for an optimized crystal structure of Cd2AgSb.

The total moment is 0.0 μB/f.u. The space-group type is P4/mmm (123). Its total DFT energy (no corrections) is -2.14 eV per atom. For the raw formation energy, the calculation gives 0.06 eV per atom. The value obtained for the density of states at the Fermi level is 1.081 states/eV/cell.

CIF file:
```
data_Cd2AgSb
_space_group_name_H-M_alt 'P 1'
_space_group_IT_number 1
_cell_length_a 3.161
_cell_length_b 3.161
_cell_length_c 9.094
_cell_angle_alpha 90.00
_cell_angle_beta 90.00
_cell_angle_gamma 89.98
loop_
_space_group_symop_operation_xyz
'x,y,z'
loop_
_atom_site_label
_atom_site_type_symbol
_atom_site_fract_x
_atom_site_fract_y
_atom_site_fract_z
Sb1 Sb 0.500 0.500 0.250
Ag1 Ag 0.500 0.500 0.750
Cd1 Cd 0.000 0.000 0.969
Cd2 Cd 0.000 0.000 0.531
```

***

[8]
Density functional theory data (GGA-PBE) for an optimized crystal structure of Cd2Ag4Sb.

The total moment is 0.0 μB/f.u. The space-group type is Pbca (61). Its total DFT energy (no corrections) is -2.43 eV per atom. For the raw formation energy, the calculation gives 0.04 eV per atom. The value obtained for the density of states at the Fermi level is 11.761 states/eV/cell.

CIF file:
```
data_Cd2Ag4Sb
_space_group_name_H-M_alt 'P 1'
_space_group_IT_number 1
_cell_length_a 5.104
_cell_length_b 10.154
_cell_length_c 11.262
_cell_angle_alpha 90.00
_cell_angle_beta 90.00
_cell_angle_gamma 90.00
loop_
_space_group_symop_operation_xyz
'x,y,z'
loop_
_atom_site_label
_atom_site_type_symbol
_atom_site_fract_x
_atom_site_fract_y
_atom_site_fract_z
Sb1 Sb 0.000 0.000 0.500
Sb2 Sb 0.500 0.500 0.500
Sb3 Sb 0.000 0.500 0.000
Sb4 Sb 0.500 0.000 0.000
Ag1 Ag 0.827 0.728 0.561
Ag2 Ag 0.327 0.772 0.439
Ag3 Ag 0.173 0.228 0.939
Ag4 Ag 0.673 0.272 0.061
Ag5 Ag 0.173 0.272 0.439
Ag6 Ag 0.673 0.228 0.561
Ag7 Ag 0.827 0.772 0.061
Ag8 Ag 0.327 0.728 0.939
Ag9 Ag 0.182 0.184 0.688
Ag10 Ag 0.682 0.316 0.312
Ag11 Ag 0.818 0.684 0.812
Ag12 Ag 0.318 0.816 0.188
Ag13 Ag 0.818 0.816 0.312
Ag14 Ag 0.318 0.684 0.688
Ag15 Ag 0.182 0.316 0.188
Ag16 Ag 0.682 0.184 0.812
Cd1 Cd 0.021 0.946 0.830
Cd2 Cd 0.521 0.554 0.170
Cd3 Cd 0.979 0.446 0.670
Cd4 Cd 0.479 0.054 0.330
Cd5 Cd 0.979 0.054 0.170
Cd6 Cd 0.479 0.446 0.830
Cd7 Cd 0.021 0.554 0.330
Cd8 Cd 0.521 0.946 0.670
```

***

[9]
Density functional theory data (GGA-PBE) for an optimized crystal structure of Cd4AgSb.

The total moment is 0.0 μB/f.u. The space-group type is F-43m (216). Its total DFT energy (no corrections) is -1.59 eV per atom. For the raw formation energy, the calculation gives 0.18 eV per atom. The value obtained for the density of states at the Fermi level is 3.467 states/eV/cell.

CIF file:
```
data_Cd4AgSb
_space_group_name_H-M_alt 'P 1'
_space_group_IT_number 1
_cell_length_a 5.836
_cell_length_b 5.836
_cell_length_c 5.836
_cell_angle_alpha 60.00
_cell_angle_beta 60.00
_cell_angle_gamma 60.00
loop_
_space_group_symop_operation_xyz
'x,y,z'
loop_
_atom_site_label
_atom_site_type_symbol
_atom_site_fract_x
_atom_site_fract_y
_atom_site_fract_z
Cd1 Cd 0.876 0.375 0.375
Cd2 Cd 0.375 0.375 0.876
Cd3 Cd 0.375 0.876 0.375
Cd4 Cd 0.375 0.375 0.375
Ag1 Ag 0.000 0.000 0.000
Sb1 Sb 0.750 0.750 0.750
```

***

[10]
Density functional theory data (GGA-PBE) for an optimized crystal structure of Cd2AgSb.

The total moment is 0.0 μB/f.u. The space-group type is R-3m (166). Its total DFT energy (no corrections) is -2.10 eV per atom. For the raw formation energy, the calculation gives 0.10 eV per atom. The value obtained for the density of states at the Fermi level is 1.342 states/eV/cell.

CIF file:
```
data_Cd2AgSb
_space_group_name_H-M_alt 'P 1'
_space_group_IT_number 1
_cell_length_a 9.970
_cell_length_b 9.970
_cell_length_c 9.970
_cell_angle_alpha 19.02
_cell_angle_beta 19.02
_cell_angle_gamma 19.02
loop_
_space_group_symop_operation_xyz
'x,y,z'
loop_
_atom_site_label
_atom_site_type_symbol
_atom_site_fract_x
_atom_site_fract_y
_atom_site_fract_z
Sb1 Sb 0.250 0.250 0.250
Ag1 Ag 0.750 0.750 0.750
Cd1 Cd 0.006 0.006 0.006
Cd2 Cd 0.494 0.494 0.494
```